# Y2CuW (PBEsol, relaxed)
data_Y2CuW
_chemical_formula_sum 'Y2 Cu1 W1'
_symmetry_space_group_name_H-M 'P 1'
_symmetry_Int_Tables_number 1
_symmetry_space_group_name_Hall 'P 1'
_cell_length_a 3.0598
_cell_length_b 4.9312
_cell_length_c 5.7900
_cell_angle_alpha 100.70
_cell_angle_beta 90.00
_cell_angle_gamma 108.07
loop_
_atom_site_label
_atom_site_type_symbol
_atom_site_fract_x
_atom_site_fract_y
_atom_site_fract_z
W1 W 0.5000 0.0000 0.0000
Cu1 Cu 0.0000 0.0000 0.5000
Y1 Y 0.2573 0.5146 0.2529
Y2 Y 0.7427 0.4854 0.7471
# E_tot: -7.317 eV/atom
# DOS at the Fermi energy: 3.632 states/eV/f.u.
# Formation enthalpy at 0 K: 0.63 eV/atom
# Symmetry: C2/m, No. 12
# Crystal system: monoclinic


# ZnCu2W (PBEsol, relaxed)
data_ZnCu2W
_chemical_formula_sum 'Zn1 Cu2 W1'
_symmetry_space_group_name_H-M 'P 1'
_symmetry_Int_Tables_number 1
_symmetry_space_group_name_Hall 'P 1'
_cell_length_a 2.6705
_cell_length_b 2.6705
_cell_length_c 7.2190
_cell_angle_alpha 90.00
_cell_angle_beta 90.00
_cell_angle_gamma 90.00
loop_
_atom_site_label
_atom_site_type_symbol
_atom_site_fract_x
_atom_site_fract_y
_atom_site_fract_z
W1 W 0.5000 0.5000 0.0000
Zn1 Zn 0.5000 0.5000 0.5000
Cu1 Cu 0.0000 0.0000 0.2635
Cu2 Cu 0.0000 0.0000 0.7365
# E_tot: -5.903 eV/atom
# DOS at the Fermi energy: 1.535 states/eV/f.u.
# Formation enthalpy at 0 K: 0.11 eV/atom
# Symmetry: P4/mmm, No. 123
# Crystal system: tetragonal